Entry 1:
# Pr2ErBi3 | Alexandria via LeMat-Bulk | PBE-GGA | relaxed
# Size of the total moment = 0.00 μB per formula unit
# VASP energy = -5.1939 eV/atom
data_Pr2ErBi3
_symmetry_space_group_name_H-M 'I m m m'
_symmetry_Int_Tables_number 71
_symmetry_space_group_name_Hall '-I 2 2'
_cell_length_a 4.5795
_cell_length_b 6.4837
_cell_length_c 13.7222
_cell_angle_alpha 90.00
_cell_angle_beta 90.00
_cell_angle_gamma 90.00
loop_
_atom_site_label
_atom_site_type_symbol
_atom_site_fract_x
_atom_site_fract_y
_atom_site_fract_z
_atom_site_occupancy
Pr1 Pr 0.0000 0.0000 0.1687 1
Er1 Er 0.0000 0.0000 0.5000 1
Bi1 Bi 0.0000 0.5000 0.1597 1
Bi2 Bi 0.0000 0.5000 0.5000 1

Entry 2:
# PrEr2PuBi4 | Alexandria via LeMat-Bulk | PBE-GGA | relaxed
# Size of the total moment = 5.16 μB per formula unit
# VASP energy = -6.1895 eV/atom
data_PrEr2PuBi4
_symmetry_space_group_name_H-M 'P 1 2/m 1'
_symmetry_Int_Tables_number 10
_cell_length_a 7.8234
_cell_length_b 4.5270
_cell_length_c 7.8370
_cell_angle_alpha 90.00
_cell_angle_beta 109.48
_cell_angle_gamma 90.00
loop_
_symmetry_equiv_pos_as_xyz
'x,y,z'
'-x,-y,-z'
'-x,y,-z'
'x,-y,z'
loop_
_atom_site_label
_atom_site_type_symbol
_atom_site_fract_x
_atom_site_fract_y
_atom_site_fract_z
_atom_site_occupancy
Pr1 Pr 0.0000 0.0000 0.0000 1
Er1 Er 0.5000 0.0000 0.5000 1
Er2 Er 0.5000 0.5000 0.0000 1
Pu1 Pu 0.0000 0.5000 0.5000 1
Bi1 Bi 0.2580 0.0000 0.7493 1
Bi2 Bi 0.2605 0.5000 0.2569 1

Entry 3:
# Pr2ErPuBi4 | Alexandria via LeMat-Bulk | PBE-GGA | relaxed
# Size of the total moment = 5.11 μB per formula unit
# VASP energy = -6.2510 eV/atom
data_Pr2ErPuBi4
_symmetry_space_group_name_H-M 'P 1 2/m 1'
_symmetry_Int_Tables_number 10
_cell_length_a 7.9038
_cell_length_b 4.5756
_cell_length_c 7.9122
_cell_angle_alpha 90.00
_cell_angle_beta 109.45
_cell_angle_gamma 90.00
loop_
_symmetry_equiv_pos_as_xyz
'x,y,z'
'-x,-y,-z'
'-x,y,-z'
'x,-y,z'
loop_
_atom_site_label
_atom_site_type_symbol
_atom_site_fract_x
_atom_site_fract_y
_atom_site_fract_z
_atom_site_occupancy
Pr1 Pr 0.0000 0.0000 0.0000 1
Pr2 Pr 0.0000 0.5000 0.5000 1
Er1 Er 0.5000 0.0000 0.5000 1
Pu1 Pu 0.5000 0.5000 0.0000 1
Bi1 Bi 0.2599 0.0000 0.7512 1
Bi2 Bi 0.2615 0.5000 0.2559 1